No. 1
A plane-wave DFT calculation with SCAN was carried out for a PBEsol-optimized structure of BSNF2.

The raw formation energy comes out at 84 kJ per mole of atoms. For the calculated total energy, the calculation gives -5.820 eV per atom. The volume comes out at 62 Å³/cell.

Geometry as CIF:
```
data_BSNF2
_cell_length_a 3.272
_cell_length_b 4.342
_cell_length_c 4.342
_cell_angle_alpha 90.00
_cell_angle_beta 90.00
_cell_angle_gamma 90.00
_space_group_name_H-M_alt 'P 1'
_space_group_IT_number 1
loop_
_space_group_symop_operation_xyz
'x,y,z'
loop_
_atom_site_label
_atom_site_fract_x
_atom_site_fract_y
_atom_site_fract_z
S1 0.000 0.000 0.000
N1 0.500 0.000 0.000
B1 0.500 0.500 0.500
F1 0.000 0.000 0.500
F2 0.000 0.500 0.000
```



No. 2
A plane-wave DFT calculation with SCAN was carried out for a PBEsol-optimized structure of BaCaSc2.

The value obtained for the polymorph energy (0 for the lowest one) is 0.1607 eV/atom. The value obtained for the formation energy is 1.780 eV/f.u. For the calculated total energy, the calculation gives -18.977 eV per atom. The volume comes out at 131 Å³/cell.

Geometry as CIF:
```
data_BaCaSc2
_cell_length_a 5.704
_cell_length_b 5.704
_cell_length_c 5.704
_cell_angle_alpha 60.00
_cell_angle_beta 60.00
_cell_angle_gamma 60.00
_space_group_name_H-M_alt 'P 1'
_space_group_IT_number 1
loop_
_space_group_symop_operation_xyz
'x,y,z'
loop_
_atom_site_label
_atom_site_fract_x
_atom_site_fract_y
_atom_site_fract_z
Sc1 0.250 0.250 0.250
Sc2 0.750 0.750 0.750
Ca1 0.500 0.500 0.500
Ba1 0.000 0.000 0.000
```



No. 3
A plane-wave DFT calculation with SCAN was carried out for a PBEsol-optimized structure of FeNiIr.

The value obtained for the polymorph energy (0 for the lowest one) is 0.1002 eV/atom. The value obtained for the formation energy is 0.137 eV/f.u. For the calculated total energy, the calculation gives -35.088 eV per atom. The volume comes out at 37 Å³/cell.

Geometry as CIF:
```
data_FeNiIr
_cell_length_a 2.573
_cell_length_b 2.573
_cell_length_c 6.447
_cell_angle_alpha 96.33
_cell_angle_beta 96.33
_cell_angle_gamma 116.58
_space_group_name_H-M_alt 'P 1'
_space_group_IT_number 1
loop_
_space_group_symop_operation_xyz
'x,y,z'
loop_
_atom_site_label
_atom_site_fract_x
_atom_site_fract_y
_atom_site_fract_z
Fe1 0.005 0.005 0.011
Ir1 0.334 0.334 0.668
Ni1 0.660 0.660 0.321
```



No. 4
A plane-wave DFT calculation with SCAN was carried out for a PBEsol-optimized structure of MgZrTe2.

The raw formation energy comes out at -66 kJ per mole of atoms. For the calculated total energy, the calculation gives -28.226 eV per atom. The volume comes out at 93 Å³/cell.

Geometry as CIF:
```
data_MgZrTe2
_cell_length_a 3.621
_cell_length_b 3.621
_cell_length_c 7.085
_cell_angle_alpha 90.00
_cell_angle_beta 90.00
_cell_angle_gamma 90.00
_space_group_name_H-M_alt 'P 1'
_space_group_IT_number 1
loop_
_space_group_symop_operation_xyz
'x,y,z'
loop_
_atom_site_label
_atom_site_fract_x
_atom_site_fract_y
_atom_site_fract_z
Mg1 0.500 0.500 0.500
Te1 0.000 0.000 0.767
Te2 0.000 0.000 0.233
Zr1 0.500 0.500 0.000
```



Question: Among the records above, which one has the lowest calculated total energy?
Answer: FeNiIr



Question: The lowest calculated total energy belongs to which entry?
Answer: FeNiIr



Please write out number 4 again, unchanged.
A plane-wave DFT calculation with SCAN was carried out for a PBEsol-optimized structure of MgZrTe2.

The raw formation energy comes out at -66 kJ per mole of atoms. For the calculated total energy, the calculation gives -28.226 eV per atom. The volume comes out at 93 Å³/cell.

Geometry as CIF:
```
data_MgZrTe2
_cell_length_a 3.621
_cell_length_b 3.621
_cell_length_c 7.085
_cell_angle_alpha 90.00
_cell_angle_beta 90.00
_cell_angle_gamma 90.00
_space_group_name_H-M_alt 'P 1'
_space_group_IT_number 1
loop_
_space_group_symop_operation_xyz
'x,y,z'
loop_
_atom_site_label
_atom_site_fract_x
_atom_site_fract_y
_atom_site_fract_z
Mg1 0.500 0.500 0.500
Te1 0.000 0.000 0.767
Te2 0.000 0.000 0.233
Zr1 0.500 0.500 0.000
```